Below is a geometry-optimized AcGe2Bi structure, with properties calculated at the PBE level.

The structure in POSCAR format:
```
AcGe2Bi
1.0
4.0483 0.0000 0.0000
0.0000 4.0483 0.0000
0.0000 0.0000 6.7127
Ac Ge Bi
1 2 1
Direct
0.0000 0.0000 0.0000
0.5000 0.5000 0.2982
0.5000 0.5000 0.7018
0.0000 0.0000 0.5000
```

**Total magnetic moment**: 0.00 μB per cell
**Fermi-level density of states**: 0.5139 states/eV/atom
**Space-group type**: P4/mmm
**Relative energy among the computed polymorphs**: 144 meV per atom